## Li2PuGa6 (PBE-GGA)

Data for a geometry-optimized Li2PuGa6 structure.

## Properties
Calculated total energy = -4.311 eV per atom
ΔH_f (0 K) = -0.276 eV/atom
Space-group type = P6/mmm, No. 191
Size of the total moment = 5.41 μB/cell
Energy relative to the lowest polymorph listed for this composition = 0 meV per atom

```
data_Li2PuGa6
_chemical_formula_sum 'Li2 Pu1 Ga6'
_cell_length_a 2.9147
_cell_length_b 8.0385
_cell_length_c 8.0385
_cell_angle_alpha 120.00
_cell_angle_beta 90.00
_cell_angle_gamma 90.00
_symmetry_space_group_name_H-M 'P 1'
_symmetry_Int_Tables_number 1
loop_
_symmetry_equiv_pos_as_xyz
'x,y,z'
loop_
_atom_site_label
_atom_site_fract_x
_atom_site_fract_y
_atom_site_fract_z
Ga1 0.5000 0.0000 0.6575
Li1 0.0000 0.3333 0.6667
Ga2 0.5000 0.3425 0.0000
Pu1 0.0000 0.0000 0.0000
Ga3 0.5000 0.6575 0.0000
Ga4 0.5000 0.0000 0.3425
Li2 0.0000 0.6667 0.3333
Ga5 0.5000 0.3425 0.3425
Ga6 0.5000 0.6575 0.6575
```